# 1
# Ba2Ti2S5 PBE optimized geometry
data_Ba2Ti2S5
_chemical_formula_sum 'Ba4 Ti4 S10'
_cell_length_a 13.219
_cell_length_b 4.889
_cell_length_c 7.575
_cell_angle_alpha 90.00
_cell_angle_beta 109.03
_cell_angle_gamma 90.00
_symmetry_space_group_name_H-M 'C 1 2/m 1'
_symmetry_Int_Tables_number 12
loop_
_symmetry_equiv_pos_as_xyz
'x,y,z'
'-x,-y,-z'
'-x,y,-z'
'x,-y,z'
'x+1/2,y+1/2,z'
'-x+1/2,-y+1/2,-z'
'-x+1/2,y+1/2,-z'
'x+1/2,-y+1/2,z'
loop_
_atom_site_label
_atom_site_fract_x
_atom_site_fract_y
_atom_site_fract_z
_atom_site_occupancy
Ba1 0.098 0.000 0.304 1
Ti1 0.164 0.500 0.902 1
S1 0.000 0.500 0.000 1
S2 0.150 0.500 0.592 1
S3 0.155 0.000 0.915 1
# Crystal system ... monoclinic
# Magnetic moment ... 0.0 Bohr magnetons per cell
# E_form (uncorrected) ... -1616 meV per atom
# Uncorrected energy ... -6.091 eV per atom
# ΔE to the lowest computed polymorph ... 14 meV per atom



# 2
# Hf4Si PBE optimized geometry
data_Hf4Si
_chemical_formula_sum 'Hf4 Si1'
_cell_length_a 4.911
_cell_length_b 4.911
_cell_length_c 4.911
_cell_angle_alpha 90.00
_cell_angle_beta 90.00
_cell_angle_gamma 90.00
_symmetry_space_group_name_H-M 'P m -3 m'
_symmetry_Int_Tables_number 221
_symmetry_space_group_name_Hall '-P 4 2 3'
loop_
_atom_site_label
_atom_site_fract_x
_atom_site_fract_y
_atom_site_fract_z
_atom_site_occupancy
Hf1 0.000 0.000 0.000 1
Hf2 0.000 0.500 0.500 1
Si1 0.500 0.500 0.500 1
# Crystal system ... cubic
# Magnetic moment ... 0.0 Bohr magnetons per cell
# E_form (uncorrected) ... 286 meV per atom
# Uncorrected energy ... -8.761 eV per atom



# 3
# Tb3PrErTm PBE optimized geometry
data_Tb3PrErTm
_chemical_formula_sum 'Tb12 Pr4 Er4 Tm4'
_cell_length_a 22.287
_cell_length_b 5.406
_cell_length_c 6.794
_cell_angle_alpha 90.00
_cell_angle_beta 98.20
_cell_angle_gamma 90.00
_symmetry_space_group_name_H-M 'C 1 2/m 1'
_symmetry_Int_Tables_number 12
loop_
_symmetry_equiv_pos_as_xyz
'x,y,z'
'-x,-y,-z'
'-x,y,-z'
'x,-y,z'
'x+1/2,y+1/2,z'
'-x+1/2,-y+1/2,-z'
'-x+1/2,y+1/2,-z'
'x+1/2,-y+1/2,z'
loop_
_atom_site_label
_atom_site_fract_x
_atom_site_fract_y
_atom_site_fract_z
_atom_site_occupancy
Tb1 0.024 0.000 0.276 1
Tb2 0.172 0.500 0.278 1
Tb3 0.226 0.500 0.812 1
Pr1 0.130 0.000 0.978 1
Er1 0.167 0.000 0.531 1
Tm1 0.073 0.500 0.650 1
# DFT formation energy ... 0.202 eV per atom
# Crystal system ... monoclinic
# Magnetic moment ... 0.0 Bohr magnetons per cell
# Uncorrected energy ... -4.416 eV per atom



# 4
# Li4Mg7Pb PBE optimized geometry
data_Li4Mg7Pb
_chemical_formula_sum 'Li8 Mg14 Pb2'
_cell_length_a 14.167
_cell_length_b 5.310
_cell_length_c 8.467
_cell_angle_alpha 90.00
_cell_angle_beta 118.47
_cell_angle_gamma 90.00
_symmetry_space_group_name_H-M 'C 1 2/m 1'
_symmetry_Int_Tables_number 12
loop_
_symmetry_equiv_pos_as_xyz
'x,y,z'
'-x,-y,-z'
'-x,y,-z'
'x,-y,z'
'x+1/2,y+1/2,z'
'-x+1/2,-y+1/2,-z'
'-x+1/2,y+1/2,-z'
'x+1/2,-y+1/2,z'
loop_
_atom_site_label
_atom_site_fract_x
_atom_site_fract_y
_atom_site_fract_z
_atom_site_occupancy
Li1 0.051 0.000 0.191 1
Li2 0.175 0.000 0.856 1
Mg1 0.000 0.000 0.500 1
Mg2 0.091 0.500 0.954 1
Mg3 0.198 0.500 0.378 1
Mg4 0.243 0.500 0.773 1
Pb1 0.000 0.500 0.500 1
# DFT formation energy ... 0.068 eV per atom
# Crystal system ... monoclinic
# Magnetic moment ... 0.0 Bohr magnetons per cell
# Uncorrected energy ... -1.809 eV per atom



# 5
# Zn3NiSb2 PBE optimized geometry
data_Zn3NiSb2
_chemical_formula_sum 'Zn3 Ni1 Sb2'
_cell_length_a 4.2767
_cell_length_b 4.2767
_cell_length_c 8.1628
_cell_angle_alpha 90.00
_cell_angle_beta 90.00
_cell_angle_gamma 120.00
_symmetry_space_group_name_H-M 'P -3 m 1'
_symmetry_Int_Tables_number 164
_symmetry_space_group_name_Hall '-P 3 2"'
loop_
_atom_site_label
_atom_site_fract_x
_atom_site_fract_y
_atom_site_fract_z
_atom_site_occupancy
Zn1 0.0000 0.0000 0.0000 1
Zn2 0.3333 0.6667 0.0389 1
Ni1 0.0000 0.0000 0.5000 1
Sb1 0.3333 0.6667 0.3766 1
# Crystal system ... trigonal
# Magnetic moment ... 0.0 Bohr magnetons per cell
# E_form (uncorrected) ... 34 meV per atom
# Uncorrected energy ... -2.940 eV per atom



# 6
# Li2ScTe PBE optimized geometry
data_Li2ScTe
_chemical_formula_sum 'Li2 Sc1 Te1'
_cell_length_a 3.902
_cell_length_b 3.902
_cell_length_c 5.791
_cell_angle_alpha 90.00
_cell_angle_beta 90.00
_cell_angle_gamma 90.00
_symmetry_space_group_name_H-M 'P 4/m m m'
_symmetry_Int_Tables_number 123
_symmetry_space_group_name_Hall '-P 4 2'
loop_
_atom_site_label
_atom_site_fract_x
_atom_site_fract_y
_atom_site_fract_z
_atom_site_occupancy
Li1 0.000 0.000 0.228 1
Sc1 0.500 0.500 0.500 1
Te1 0.500 0.500 0.000 1
# Crystal system ... tetragonal
# Magnetic moment ... 0.8 Bohr magnetons per cell
# E_form (uncorrected) ... -424 meV per atom
# Uncorrected energy ... -3.749 eV per atom